[1]
First-principles (PBE) data for an optimized crystal structure of Ca2BeZn, as listed in Alexandria via LeMat-Bulk.

a b c (Å): 5.0943 5.0943 5.0943
angles (deg): 60.00 60.00 60.00
Sites, in units of the cell vectors:
Ca 0.2500 0.2500 0.2500
Ca 0.7500 0.7500 0.7500
Be 0.0000 0.0000 0.0000
Zn 0.5000 0.5000 0.5000

Properties
The excess energy over the best structure of this formula in the dataset comes out at 0.31 eV per formula unit. The formation energy is 0.0951 eV per atom.

[2]
First-principles (PBE) data for an optimized crystal structure of Ho12NiBi6, as listed in Alexandria via LeMat-Bulk.

a b c (Å): 8.6112 8.6112 8.6112
angles (deg): 99.85 99.85 99.85
Sites, in units of the cell vectors:
Ho 0.0041 0.6941 0.9432
Ho 0.0568 0.9959 0.3059
Ho 0.2024 0.4106 0.5383
Ho 0.3059 0.0568 0.9959
Ho 0.4106 0.5383 0.2024
Ho 0.4617 0.7976 0.5894
Ho 0.5383 0.2024 0.4106
Ho 0.5894 0.4617 0.7976
Ho 0.6941 0.9432 0.0041
Ho 0.7976 0.5894 0.4617
Ho 0.9432 0.0041 0.6941
Ho 0.9959 0.3059 0.0568
Ni 0.0000 0.0000 0.0000
Bi 0.1158 0.6491 0.3178
Bi 0.3178 0.1158 0.6491
Bi 0.3509 0.6822 0.8842
Bi 0.6491 0.3178 0.1158
Bi 0.6822 0.8842 0.3509
Bi 0.8842 0.3509 0.6822

Properties
The formation energy is -0.4402 eV per atom.

[3]
First-principles (PBE) data for an optimized crystal structure of MnCrFeRh, as listed in Alexandria via LeMat-Bulk.

a b c (Å): 4.1865 4.1865 4.1865
angles (deg): 60.00 60.00 60.00
Sites, in units of the cell vectors:
Mn 0.0000 0.0000 0.0000
Cr 0.2500 0.2500 0.2500
Fe 0.5000 0.5000 0.5000
Rh 0.7500 0.7500 0.7500

Properties
The formation energy is 0.0507 eV per atom.

[4]
First-principles (PBE) data for an optimized crystal structure of CaTb2Ir2, as listed in Alexandria via LeMat-Bulk.

a b c (Å): 7.9038 7.9038 3.7132
angles (deg): 90.00 90.00 90.00
Sites, in units of the cell vectors:
Ca 0.0000 0.0000 0.0000
Ca 0.5000 0.5000 0.0000
Tb 0.1523 0.3477 0.5000
Tb 0.3477 0.8477 0.5000
Tb 0.6523 0.1523 0.5000
Tb 0.8477 0.6523 0.5000
Ir 0.1405 0.6405 0.0000
Ir 0.3595 0.1405 0.0000
Ir 0.6405 0.8595 0.0000
Ir 0.8595 0.3595 0.0000

Properties
The formation energy is -0.6116 eV per atom.

[5]
First-principles (PBE) data for an optimized crystal structure of CdCu2As, as listed in Alexandria via LeMat-Bulk.

a b c (Å): 3.2555 3.2555 6.2054
angles (deg): 90.00 90.00 90.00
Sites, in units of the cell vectors:
Cd 0.0000 0.0000 0.0000
Cu 0.0000 0.0000 0.4567
Cu 0.5000 0.5000 0.2564
As 0.5000 0.5000 0.6582

Properties
The excess energy over the best structure of this formula in the dataset comes out at 0.05 eV per formula unit. The formation energy is 0.1238 eV per atom.

[6]
First-principles (PBE) data for an optimized crystal structure of BeVAg, as listed in Alexandria via LeMat-Bulk.

a b c (Å): 2.7088 4.6535 6.9043
angles (deg): 107.76 90.29 106.72
Sites, in units of the cell vectors:
Be 0.0356 0.0765 0.2801
Be 0.9644 0.9235 0.7199
V 0.3773 0.7307 0.9766
V 0.6227 0.2693 0.0234
Ag 0.3328 0.6726 0.3794
Ag 0.6672 0.3274 0.6206

Properties
The excess energy over the best structure of this formula in the dataset comes out at 0.23 eV per formula unit. The formation energy is 0.1838 eV per atom.

[7]
First-principles (PBE) data for an optimized crystal structure of Nd2Ho2Rh3, as listed in Alexandria via LeMat-Bulk.

a b c (Å): 4.3918 6.0274 7.4752
angles (deg): 80.88 89.93 68.64
Sites, in units of the cell vectors:
Nd 0.1323 0.2348 0.3556
Nd 0.8677 0.7652 0.6444
Ho 0.3617 0.7759 0.0696
Ho 0.6383 0.2241 0.9304
Rh 0.0000 0.5000 0.0000
Rh 0.1951 0.1114 0.7361
Rh 0.8049 0.8886 0.2639

Properties
The excess energy over the best structure of this formula in the dataset comes out at 0.49 eV per formula unit. The formation energy is -0.6344 eV per atom.

[8]
First-principles (PBE) data for an optimized crystal structure of ZnTc3I, as listed in Alexandria via LeMat-Bulk.

a b c (Å): 4.8139 4.8139 4.8139
angles (deg): 90.00 90.00 90.00
Sites, in units of the cell vectors:
Zn 0.0000 0.0000 0.0000
Tc 0.0000 0.5000 0.5000
Tc 0.5000 0.0000 0.5000
Tc 0.5000 0.5000 0.0000
I 0.5000 0.5000 0.5000

Properties
The excess energy over the best structure of this formula in the dataset comes out at 0.63 eV per formula unit. The raw formation energy comes out at 1.990 eV per atom.

[9]
First-principles (PBE) data for an optimized crystal structure of AlRh, as listed in Alexandria via LeMat-Bulk.

a b c (Å): 4.8403 4.8403 4.3015
angles (deg): 104.05 104.05 35.05
Sites, in units of the cell vectors:
Al 0.1182 0.1182 0.3063
Al 0.8818 0.8818 0.6937
Rh 0.3801 0.3801 0.1972
Rh 0.6199 0.6199 0.8028

Properties
The formation energy is -0.9103 eV per atom.

[10]
First-principles (PBE) data for an optimized crystal structure of LaPrSm2, as listed in Alexandria via LeMat-Bulk.

a b c (Å): 12.1486 12.1486 12.1486
angles (deg): 17.46 17.46 17.46
Sites, in units of the cell vectors:
La 0.0000 0.0000 0.0000
Pr 0.5000 0.5000 0.5000
Sm 0.2496 0.2496 0.2496
Sm 0.7504 0.7504 0.7504

Properties
The excess energy over the best structure of this formula in the dataset comes out at 0.07 eV per formula unit. The formation energy is 0.0114 eV per atom.

[11]
First-principles (PBE) data for an optimized crystal structure of AcDyTl4, as listed in Alexandria via LeMat-Bulk.

a b c (Å): 5.1720 5.1720 7.8926
angles (deg): 90.14 90.14 59.91
Sites, in units of the cell vectors:
Ac 0.0000 0.0000 0.0000
Dy 0.0000 0.0000 0.5000
Tl 0.3333 0.3333 0.2145
Tl 0.3333 0.3333 0.6624
Tl 0.6667 0.6667 0.3376
Tl 0.6667 0.6667 0.7855

Properties
The excess energy over the best structure of this formula in the dataset comes out at 0.00 eV per formula unit. The formation energy is -0.2600 eV per atom.

[12]
First-principles (PBE) data for an optimized crystal structure of LiTmAgRh, as listed in Alexandria via LeMat-Bulk.

a b c (Å): 4.6768 4.6768 4.6768
angles (deg): 60.00 60.00 60.00
Sites, in units of the cell vectors:
Li 0.0000 0.0000 0.0000
Tm 0.5000 0.5000 0.5000
Ag 0.2500 0.2500 0.2500
Rh 0.7500 0.7500 0.7500

Properties
The formation energy is -0.3938 eV per atom.